1.
First-principles (PBE-GGA) data for crystalline Er2CdBi at its relaxed geometry, as listed in Alexandria.

formation energy = -51 meV per atom
SG = R-3m
energy relative to the lowest polymorph listed for this composition = 393 meV per atom

Cell: 3.526 3.526 11.395 Å, 81.10 81.10 60.00°
Element x y z (fractional)
Cd1 0.500 0.500 0.500
Bi1 0.000 0.000 0.000
Er1 0.093 0.093 0.720
Er2 0.907 0.907 0.280

2.
First-principles (PBE-GGA) data for crystalline ZnBTeN2 at its relaxed geometry, as listed in Alexandria.

formation energy (no corrections) = 1.4023 eV per atom
SG = P4/mmm
energy relative to the lowest polymorph listed for this composition = 0 meV per atom

Cell: 3.425 3.425 7.669 Å, 90.00 90.00 90.00°
Element x y z (fractional)
Zn1 0.500 0.500 0.500
Te1 0.000 0.000 0.500
B1 0.000 0.000 0.000
N1 0.000 0.500 0.000
N2 0.500 0.000 0.000

3.
First-principles (PBE-GGA) data for crystalline MgBrO2 at its relaxed geometry, as listed in Alexandria.

formation energy (no corrections) = -0.9964 eV per atom
SG = Immm
energy relative to the lowest polymorph listed for this composition = 217 meV per atom

Cell: 7.155 4.860 4.860 Å, 94.81 117.90 62.10°
Element x y z (fractional)
Mg1 0.750 0.750 0.250
Mg2 0.250 0.250 0.750
O1 0.400 0.900 0.100
O2 0.100 0.600 0.400
O3 0.600 0.100 0.900
O4 0.900 0.400 0.600
Br1 0.750 0.250 0.750
Br2 0.250 0.750 0.250

4.
First-principles (PBE-GGA) data for crystalline Rb8Ga5H15 at its relaxed geometry, as listed in Alexandria.

SG = Fd-3

Cell: 11.875 11.875 11.875 Å, 60.00 60.00 60.00°
Element x y z (fractional)
Rb1 0.625 0.125 0.625
Rb2 0.125 0.625 0.625
Rb3 0.625 0.625 0.125
Rb4 0.625 0.625 0.625
Rb5 0.173 0.173 0.827
Rb6 0.827 0.827 0.173
Rb7 0.827 0.173 0.173
Rb8 0.173 0.827 0.827
Rb9 0.173 0.827 0.173
Rb10 0.827 0.173 0.827
Rb11 0.077 0.077 0.423
Rb12 0.423 0.423 0.077
Rb13 0.423 0.077 0.077
Rb14 0.077 0.423 0.423
Rb15 0.077 0.423 0.077
Rb16 0.423 0.077 0.423
Ga1 0.415 0.755 0.415
Ga2 0.755 0.415 0.415
Ga3 0.415 0.415 0.755
Ga4 0.415 0.415 0.415
Ga5 0.835 0.495 0.835
Ga6 0.495 0.835 0.835
Ga7 0.835 0.835 0.495
Ga8 0.835 0.835 0.835
Ga9 0.500 0.500 0.500
Ga10 0.750 0.750 0.750
H1 0.375 0.274 0.830
H2 0.274 0.375 0.522
H3 0.522 0.830 0.274
H4 0.830 0.522 0.375
H5 0.830 0.375 0.274
H6 0.522 0.274 0.375
H7 0.274 0.522 0.830
H8 0.375 0.830 0.522
H9 0.274 0.830 0.375
H10 0.375 0.522 0.274
H11 0.830 0.274 0.522
H12 0.522 0.375 0.830
H13 0.875 0.976 0.420
H14 0.976 0.875 0.728
H15 0.728 0.420 0.976
H16 0.420 0.728 0.875
H17 0.420 0.875 0.976
H18 0.728 0.976 0.875
H19 0.976 0.728 0.420
H20 0.875 0.420 0.728
H21 0.976 0.420 0.875
H22 0.875 0.728 0.976
H23 0.420 0.976 0.728
H24 0.728 0.875 0.420
H25 0.125 0.625 0.125
H26 0.625 0.125 0.125
H27 0.125 0.125 0.625
H28 0.125 0.125 0.125
H29 0.000 0.000 0.000
H30 0.250 0.250 0.250

5.
First-principles (PBE-GGA) data for crystalline CdSiNiRh2 at its relaxed geometry, as listed in Alexandria.

formation energy (no corrections) = 1.7814 eV per atom
SG = P4/mmm

Cell: 4.903 4.595 4.903 Å, 90.00 90.00 90.00°
Element x y z (fractional)
Ni1 0.500 0.500 0.500
Si1 0.000 0.500 0.000
Rh1 0.000 0.000 0.500
Rh2 0.500 0.000 0.000
Cd1 0.000 0.000 0.000

6.
First-principles (PBE-GGA) data for crystalline Sc2NiSb2 at its relaxed geometry, as listed in Alexandria.

formation energy (no corrections) = 0.0931 eV per atom
SG = I4/mmm

Cell: 4.055 4.055 7.998 Å, 75.31 75.31 90.00°
Element x y z (fractional)
Sc1 0.402 0.402 0.196
Sc2 0.598 0.598 0.804
Sb1 0.750 0.250 0.500
Sb2 0.250 0.750 0.500
Ni1 0.000 0.000 0.000

no.,ρ (Mg/m³),uncorrected energy (eV/atom),D(E_F) (states/eV/atom)
1,9.02,-3.53,0.67
2,4.28,-4.15,0.41
3,3.48,-4.29,0.52
4,2.94,-2.82,0.00
5,6.09,-3.58,1.49
6,5.30,-5.24,0.97